# 1
Computed, not measured: TbGd2In3Ni3 after structural relaxation at the PBE level of DFT.

The value obtained for the size of the total moment is 0.038 μB/cell. Its uncorrected energy is -4.82 eV/atom.

CIF file:
```
data_TbGd2In3Ni3
_chemical_formula_sum 'Tb2 Gd4 In6 Ni6'
_cell_length_a 3.838
_cell_length_b 12.910
_cell_length_c 7.455
_cell_angle_alpha 90.00
_cell_angle_beta 90.00
_cell_angle_gamma 90.00
_symmetry_space_group_name_H-M 'A m m 2'
_symmetry_Int_Tables_number 38
_symmetry_space_group_name_Hall 'A 2 -2'
loop_
_atom_site_label
_atom_site_fract_x
_atom_site_fract_y
_atom_site_fract_z
_atom_site_occupancy
Tb1 0.000 0.000 0.000 1
Gd1 0.000 0.206 0.382 1
In1 0.500 0.000 0.335 1
In2 0.500 0.126 0.714 1
Ni1 0.000 0.000 0.588 1
Ni2 0.500 0.167 0.088 1
```

# 2
Computed, not measured: YZrSe3 after structural relaxation at the PBE level of DFT.

The value obtained for the size of the total moment is 0.022 μB/cell. Its uncorrected energy is -6.69 eV/atom.

CIF file:
```
data_YZrSe3
_chemical_formula_sum 'Y4 Zr4 Se12'
_cell_length_a 6.695
_cell_length_b 11.699
_cell_length_c 7.015
_cell_angle_alpha 90.00
_cell_angle_beta 108.35
_cell_angle_gamma 90.00
_symmetry_space_group_name_H-M 'C 1 2 1'
_symmetry_Int_Tables_number 5
_symmetry_space_group_name_Hall 'C 2y'
loop_
_atom_site_label
_atom_site_fract_x
_atom_site_fract_y
_atom_site_fract_z
_atom_site_occupancy
Y1 0.000 0.000 0.000 1
Y2 0.000 0.164 0.500 1
Zr1 0.000 0.334 0.000 1
Zr2 0.000 0.666 0.000 1
Se1 0.234 0.498 0.249 1
Se2 0.243 0.673 0.754 1
Se3 0.250 0.331 0.754 1
```

# 3
Computed, not measured: LuCoCuGe after structural relaxation at the PBE level of DFT.

The value obtained for the size of the total moment is 5.416 μB/cell. Its uncorrected energy is -5.03 eV/atom. For the energy above the lowest structure with this stoichiometry, the calculation gives 205.6 meV/atom.

CIF file:
```
data_LuCoCuGe
_chemical_formula_sum 'Lu4 Co4 Cu4 Ge4'
_cell_length_a 6.380
_cell_length_b 6.380
_cell_length_c 6.380
_cell_angle_alpha 90.00
_cell_angle_beta 90.00
_cell_angle_gamma 90.00
_symmetry_space_group_name_H-M 'F -4 3 m'
_symmetry_Int_Tables_number 216
_symmetry_space_group_name_Hall 'F -4 2 3'
loop_
_atom_site_label
_atom_site_fract_x
_atom_site_fract_y
_atom_site_fract_z
_atom_site_occupancy
Lu1 0.000 0.000 0.000 1
Co1 0.250 0.250 0.750 1
Cu1 0.000 0.000 0.500 1
Ge1 0.250 0.250 0.250 1
```

# 4
Computed, not measured: MgAgSeO after structural relaxation at the PBE level of DFT.

Its uncorrected energy is -4.13 eV/atom. For the energy above the lowest structure with this stoichiometry, the calculation gives 206.5 meV/atom.

CIF file:
```
data_MgAgSeO
_chemical_formula_sum 'Mg4 Ag4 Se4 O4'
_cell_length_a 6.447
_cell_length_b 3.568
_cell_length_c 11.875
_cell_angle_alpha 90.00
_cell_angle_beta 90.00
_cell_angle_gamma 90.00
_symmetry_space_group_name_H-M 'P n m a'
_symmetry_Int_Tables_number 62
_symmetry_space_group_name_Hall '-P 2ac 2n'
loop_
_atom_site_label
_atom_site_fract_x
_atom_site_fract_y
_atom_site_fract_z
_atom_site_occupancy
Mg1 0.020 0.250 0.248 1
Ag1 0.243 0.250 0.958 1
Se1 0.235 0.250 0.617 1
O1 0.233 0.750 0.841 1
```

# 5
Computed, not measured: AlCuTeSe after structural relaxation at the PBE level of DFT.

Its uncorrected energy is -3.99 eV/atom. For the energy above the lowest structure with this stoichiometry, the calculation gives 9.4 meV/atom.

CIF file:
```
data_AlCuTeSe
_chemical_formula_sum 'Al4 Cu4 Te4 Se4'
_cell_length_a 5.851
_cell_length_b 5.864
_cell_length_c 11.549
_cell_angle_alpha 90.00
_cell_angle_beta 90.00
_cell_angle_gamma 90.00
_symmetry_space_group_name_H-M 'I 21 21 21'
_symmetry_Int_Tables_number 24
_symmetry_space_group_name_Hall 'I 2b 2c'
loop_
_atom_site_label
_atom_site_fract_x
_atom_site_fract_y
_atom_site_fract_z
_atom_site_occupancy
Al1 0.000 0.250 0.134 1
Cu1 0.000 0.250 0.637 1
Te1 0.250 0.011 0.500 1
Se1 0.247 0.500 0.250 1
```

# 6
Computed, not measured: Gd2DyIn3CuPt2 after structural relaxation at the PBE level of DFT.

The value obtained for the size of the total moment is 0.009 μB/cell. Its uncorrected energy is -5.05 eV/atom.

CIF file:
```
data_Gd2DyIn3CuPt2
_chemical_formula_sum 'Gd4 Dy2 In6 Cu2 Pt4'
_cell_length_a 3.857
_cell_length_b 13.282
_cell_length_c 7.680
_cell_angle_alpha 90.00
_cell_angle_beta 90.00
_cell_angle_gamma 90.00
_symmetry_space_group_name_H-M 'A m m 2'
_symmetry_Int_Tables_number 38
_symmetry_space_group_name_Hall 'A 2 -2'
loop_
_atom_site_label
_atom_site_fract_x
_atom_site_fract_y
_atom_site_fract_z
_atom_site_occupancy
Gd1 0.000 0.206 0.000 1
Dy1 0.000 0.000 0.381 1
In1 0.500 0.000 0.044 1
In2 0.500 0.125 0.668 1
Cu1 0.000 0.000 0.793 1
Pt1 0.500 0.165 0.294 1
```

# 7
Computed, not measured: Zn2AgBi after structural relaxation at the PBE level of DFT.

Its uncorrected energy is -2.15 eV/atom.

CIF file:
```
data_Zn2AgBi
_chemical_formula_sum 'Zn8 Ag4 Bi4'
_cell_length_a 6.942
_cell_length_b 6.942
_cell_length_c 6.942
_cell_angle_alpha 90.00
_cell_angle_beta 90.00
_cell_angle_gamma 90.00
_symmetry_space_group_name_H-M 'F -4 3 m'
_symmetry_Int_Tables_number 216
_symmetry_space_group_name_Hall 'F -4 2 3'
loop_
_atom_site_label
_atom_site_fract_x
_atom_site_fract_y
_atom_site_fract_z
_atom_site_occupancy
Zn1 0.000 0.000 0.000 1
Zn2 0.250 0.250 0.250 1
Ag1 0.000 0.000 0.500 1
Bi1 0.250 0.250 0.750 1
```

# 8
Computed, not measured: Rb2AgOsF6 after structural relaxation at the PBE level of DFT.

The value obtained for the size of the total moment is 4.390 μB/cell. Its uncorrected energy is -3.15 eV/atom.

CIF file:
```
data_Rb2AgOsF6
_chemical_formula_sum 'Rb2 Ag1 Os1 F6'
_cell_length_a 3.898
_cell_length_b 3.898
_cell_length_c 10.748
_cell_angle_alpha 90.00
_cell_angle_beta 90.00
_cell_angle_gamma 90.00
_symmetry_space_group_name_H-M 'P 4/m m m'
_symmetry_Int_Tables_number 123
_symmetry_space_group_name_Hall '-P 4 2'
loop_
_atom_site_label
_atom_site_fract_x
_atom_site_fract_y
_atom_site_fract_z
_atom_site_occupancy
Rb1 0.000 0.000 0.235 1
Ag1 0.500 0.500 0.500 1
Os1 0.500 0.500 0.000 1
F1 0.000 0.000 0.000 1
F2 0.000 0.000 0.500 1
F3 0.000 0.500 0.378 1
```

Repeat the fifth record exactly.
Computed, not measured: AlCuTeSe after structural relaxation at the PBE level of DFT.

Its uncorrected energy is -3.99 eV/atom. For the energy above the lowest structure with this stoichiometry, the calculation gives 9.4 meV/atom.

CIF file:
```
data_AlCuTeSe
_chemical_formula_sum 'Al4 Cu4 Te4 Se4'
_cell_length_a 5.851
_cell_length_b 5.864
_cell_length_c 11.549
_cell_angle_alpha 90.00
_cell_angle_beta 90.00
_cell_angle_gamma 90.00
_symmetry_space_group_name_H-M 'I 21 21 21'
_symmetry_Int_Tables_number 24
_symmetry_space_group_name_Hall 'I 2b 2c'
loop_
_atom_site_label
_atom_site_fract_x
_atom_site_fract_y
_atom_site_fract_z
_atom_site_occupancy
Al1 0.000 0.250 0.134 1
Cu1 0.000 0.250 0.637 1
Te1 0.250 0.011 0.500 1
Se1 0.247 0.500 0.250 1
```

- Look up the uncorrected energy of the seventh one.
  -2.15 eV/atom

- Which value of uncorrected energy does entry 1 give?
  -4.82 eV/atom